(1)
TlIn9Sn2 | PBE-GGA | optimized geometry

Calculated values
Excess energy over the best structure of this formula in the dataset ... 0 meV per atom
Energy ... -2.900 eV per atom
Volume ... 27.88 A^3/atom
Formation enthalpy at 0 K ... 0.02 eV per atom

Cell: 10.790 10.790 3.318 Å, 90.00 90.00 120.00°
Sites, in units of the cell vectors:
Tl1 0.000 0.000 0.000
In1 0.000 0.500 0.000
In2 0.172 0.343 0.500
In3 0.172 0.828 0.500
In4 0.343 0.172 0.500
In5 0.500 0.000 0.000
In6 0.500 0.500 0.000
In7 0.657 0.828 0.500
In8 0.828 0.172 0.500
In9 0.828 0.657 0.500
Sn1 0.333 0.667 0.000
Sn2 0.667 0.333 0.000

(2)
BaHfGa | PBE-GGA | optimized geometry

Calculated values
Excess energy over the best structure of this formula in the dataset ... 81 meV per atom
Energy ... -5.097 eV per atom
Volume ... 31.45 A^3/atom
Formation enthalpy at 0 K ... -0.13 eV per atom

Cell: 4.195 3.747 12.182 Å, 90.00 99.77 90.00°
Sites, in units of the cell vectors:
Ba1 0.168 0.250 0.343
Ba2 0.832 0.750 0.657
Hf1 0.452 0.750 0.903
Hf2 0.548 0.250 0.097
Ga1 0.043 0.750 0.088
Ga2 0.957 0.250 0.912

(3)
Te2IrRh | PBE-GGA | optimized geometry

Calculated values
Excess energy over the best structure of this formula in the dataset ... 155 meV per atom
Energy relative to the elements, uncorrected ... 0.303 eV per formula unit
Energy ... -5.548 eV per atom
Volume ... 25.93 A^3/atom

Cell: 7.178 7.178 7.178 Å, 130.76 130.76 72.20°
Sites, in units of the cell vectors:
Te1 0.124 0.625 0.999
Te2 0.375 0.374 0.499
Te3 0.626 0.125 0.001
Te4 0.875 0.876 0.501
Ir1 0.000 0.000 0.000
Ir2 0.750 0.250 0.500
Rh1 0.250 0.750 0.500
Rh2 0.500 0.500 0.000

(4)
Pm12Pr2Ho5 | PBE-GGA | optimized geometry

Calculated values
Excess energy over the best structure of this formula in the dataset ... 97 meV per atom
Energy ... -4.511 eV per atom
Volume ... 34.48 A^3/atom
Formation enthalpy at 0 K ... 0.20 eV per atom

Cell: 9.264 9.264 8.942 Å, 99.69 99.69 60.49°
Sites, in units of the cell vectors:
Pm1 0.018 0.018 0.172
Pm2 0.077 0.583 0.776
Pm3 0.190 0.570 0.200
Pm4 0.417 0.923 0.224
Pm5 0.421 0.421 0.585
Pm6 0.430 0.810 0.800
Pm7 0.570 0.190 0.200
Pm8 0.579 0.579 0.415
Pm9 0.583 0.077 0.776
Pm10 0.810 0.430 0.800
Pm11 0.923 0.417 0.224
Pm12 0.982 0.982 0.828
Pr1 0.176 0.824 0.500
Pr2 0.824 0.176 0.500
Ho1 0.193 0.193 0.547
Ho2 0.215 0.215 0.940
Ho3 0.500 0.500 0.000
Ho4 0.785 0.785 0.060
Ho5 0.807 0.807 0.453